## CsCoPCl2 (PBE-GGA)

Data for crystalline CsCoPCl2 at its relaxed geometry.

- Magnetic moment: 0.0 μB per cell
- Total DFT energy (no corrections): -3.9140 eV/atom
- Formation energy without anion corrections: -0.50 eV per atom

CIF file:
```
data_CsCoPCl2
_space_group_name_H-M_alt 'P 4/m m m'
_space_group_IT_number 123
_space_group_name_Hall '-P 4 2'
_cell_length_a 5.318
_cell_length_b 5.318
_cell_length_c 4.243
_cell_angle_alpha 90.00
_cell_angle_beta 90.00
_cell_angle_gamma 90.00
loop_
_atom_site_label
_atom_site_fract_x
_atom_site_fract_y
_atom_site_fract_z
Cs1 0.000 0.000 0.000
Co1 0.500 0.500 0.500
P1 0.500 0.500 0.000
Cl1 0.000 0.500 0.500
```